The following is a DFT calculation (PBE+U) of a geometry-optimized Ba2AlNi3O8 structure.

Calculated values
Calculated density = 5.9 Mg/m³
Raw total energy = -5.391 eV/atom

Lattice parameters (Å, degrees): 3.808 3.808 11.802 90.00 90.00 90.00
Space group P4/mmm (No. 123)
Inequivalent atoms, fractional coordinates:
Ba: 0.000 0.000 0.173
Al: 0.000 0.000 0.500
Ni: 0.500 0.500 0.000
Ni: 0.500 0.500 0.357
O: 0.000 0.500 0.000
O: 0.000 0.500 0.399
O: 0.500 0.500 0.190